# 1
Density functional theory data (GGA-PBEsol) for an optimized crystal structure of LaNi2Ru.

Calculated values
**Formation enthalpy at 0 K**: -0.115 eV/atom
**E**: -7.07 eV per atom
**Total moment**: 0.001 Bohr magnetons per cell

Cell: 4.161 4.161 14.378 Å, 90.00 90.00 120.00°
Fractional coordinates of all 12 atoms:
La: 0.000 0.000 0.000
La: 0.333 0.667 0.667
La: 0.667 0.333 0.333
Ni: 0.000 0.000 0.503
Ni: 0.000 0.000 0.809
Ni: 0.333 0.667 0.170
Ni: 0.333 0.667 0.476
Ni: 0.667 0.333 0.143
Ni: 0.667 0.333 0.836
Ru: 0.000 0.000 0.185
Ru: 0.333 0.667 0.852
Ru: 0.667 0.333 0.518

=====

# 2
Density functional theory data (GGA-PBEsol) for an optimized crystal structure of HgSbPb.

Calculated values
**Distance to the lowest polymorph of the same formula**: 0.02 eV per formula unit
**E**: -2.98 eV per atom
**Total moment**: 0.000 Bohr magnetons per cell

Cell: 3.502 4.272 10.623 Å, 90.00 90.00 90.00°
Fractional coordinates of all 6 atoms:
Hg: 0.000 0.000 0.000
Hg: 0.500 0.500 0.500
Sb: 0.000 0.000 0.348
Sb: 0.500 0.500 0.848
Pb: 0.000 0.000 0.671
Pb: 0.500 0.500 0.171

=====

# 3
Density functional theory data (GGA-PBEsol) for an optimized crystal structure of Al4C5.

Calculated values
**Formation enthalpy at 0 K**: 0.783 eV/atom
**E**: -6.39 eV per atom
**Total moment**: 0.000 Bohr magnetons per cell

Cell: 6.318 6.318 6.318 Å, 92.28 92.28 156.98°
Fractional coordinates of all 9 atoms:
Al: 0.000 0.226 0.226
Al: 0.000 0.774 0.774
Al: 0.226 0.000 0.226
Al: 0.774 0.000 0.774
C: 0.000 0.000 0.000
C: 0.284 0.284 0.567
C: 0.284 0.716 0.000
C: 0.716 0.284 0.000
C: 0.716 0.716 0.433

=====

# 4
Density functional theory data (GGA-PBEsol) for an optimized crystal structure of Al5Tc4.

Calculated values
**Formation enthalpy at 0 K**: -0.114 eV/atom
**E**: -7.39 eV per atom
**Total moment**: 0.000 Bohr magnetons per cell

Cell: 6.743 6.743 6.743 Å, 92.73 92.73 154.78°
Fractional coordinates of all 9 atoms:
Al: 0.000 0.000 0.000
Al: 0.334 0.334 0.668
Al: 0.334 0.666 0.000
Al: 0.666 0.334 0.000
Al: 0.666 0.666 0.332
Tc: 0.000 0.334 0.334
Tc: 0.000 0.666 0.666
Tc: 0.334 0.000 0.334
Tc: 0.666 0.000 0.666

=====

# 5
Density functional theory data (GGA-PBEsol) for an optimized crystal structure of ZrBeAl4.

Calculated values
**Formation enthalpy at 0 K**: 0.099 eV/atom
**E**: -4.81 eV per atom
**Total moment**: 0.011 Bohr magnetons per cell

Cell: 5.212 5.212 5.212 Å, 60.00 60.00 60.00°
Fractional coordinates of all 6 atoms:
Zr: 0.000 0.000 0.000
Be: 0.250 0.250 0.250
Al: 0.126 0.625 0.625
Al: 0.625 0.126 0.625
Al: 0.625 0.625 0.126
Al: 0.625 0.625 0.625

=====

# 6
Density functional theory data (GGA-PBEsol) for an optimized crystal structure of Zn3IrPt.

Calculated values
**Formation enthalpy at 0 K**: 0.793 eV/atom
**E**: -3.51 eV per atom
**Total moment**: 0.000 Bohr magnetons per cell

Cell: 4.605 4.605 4.605 Å, 90.00 90.00 90.00°
Fractional coordinates of all 5 atoms:
Zn: 0.000 0.000 0.500
Zn: 0.000 0.500 0.000
Zn: 0.500 0.000 0.000
Ir: 0.000 0.000 0.000
Pt: 0.500 0.500 0.500

=====

# 7
Density functional theory data (GGA-PBEsol) for an optimized crystal structure of BeAl2Pt.

Calculated values
**Formation enthalpy at 0 K**: -0.451 eV/atom
**E**: -5.24 eV per atom
**Total moment**: 0.000 Bohr magnetons per cell

Cell: 3.796 3.796 7.285 Å, 90.00 90.00 90.00°
Fractional coordinates of all 8 atoms:
Be: 0.000 0.000 0.000
Be: 0.500 0.500 0.500
Al: 0.000 0.500 0.250
Al: 0.000 0.500 0.750
Al: 0.500 0.000 0.250
Al: 0.500 0.000 0.750
Pt: 0.000 0.000 0.500
Pt: 0.500 0.500 0.000

=====

# 8
Density functional theory data (GGA-PBEsol) for an optimized crystal structure of FeSiMo.

Calculated values
**E**: -9.21 eV per atom
**Total moment**: 2.465 Bohr magnetons per cell

Cell: 7.421 4.735 4.735 Å, 60.28 90.00 90.00°
Fractional coordinates of all 12 atoms:
Fe: 0.000 0.242 0.758
Fe: 0.000 0.758 0.242
Fe: 0.256 0.589 0.589
Fe: 0.744 0.589 0.589
Si: 0.000 0.754 0.754
Si: 0.500 0.423 0.423
Si: 0.500 0.423 0.927
Si: 0.500 0.927 0.423
Mo: 0.189 0.257 0.257
Mo: 0.320 0.923 0.923
Mo: 0.680 0.923 0.923
Mo: 0.811 0.257 0.257

=====

# 9
Density functional theory data (GGA-PBEsol) for an optimized crystal structure of Tl2CoCu.

Calculated values
**Formation enthalpy at 0 K**: 0.400 eV/atom
**E**: -3.93 eV per atom
**Total moment**: 0.840 Bohr magnetons per cell

Cell: 2.979 4.285 11.197 Å, 90.00 90.00 90.00°
Fractional coordinates of all 8 atoms:
Tl: 0.000 0.000 0.000
Tl: 0.000 0.500 0.220
Tl: 0.500 0.000 0.720
Tl: 0.500 0.500 0.500
Co: 0.000 0.500 0.709
Co: 0.500 0.000 0.209
Cu: 0.000 0.000 0.390
Cu: 0.500 0.500 0.890

=====

# 10
Density functional theory data (GGA-PBEsol) for an optimized crystal structure of BaBeAs2.

Calculated values
**Formation enthalpy at 0 K**: -0.366 eV/atom
**E**: -4.46 eV per atom
**Total moment**: 0.000 Bohr magnetons per cell

Cell: 4.528 4.529 4.955 Å, 90.00 90.05 90.00°
Fractional coordinates of all 4 atoms:
Ba: 0.000 0.000 0.000
Be: 0.513 0.500 0.469
As: 0.010 0.500 0.501
As: 0.499 0.000 0.501

=====

# 11
Density functional theory data (GGA-PBEsol) for an optimized crystal structure of CoCuRh.

Calculated values
**Distance to the lowest polymorph of the same formula**: 0.00 eV per formula unit
**Formation enthalpy at 0 K**: 0.102 eV/atom
**E**: -6.63 eV per atom
**Total moment**: 4.985 Bohr magnetons per cell

Cell: 2.626 3.540 7.704 Å, 90.00 90.00 90.00°
Fractional coordinates of all 6 atoms:
Co: 0.000 0.000 0.000
Co: 0.500 0.500 0.500
Cu: 0.000 0.000 0.665
Cu: 0.500 0.500 0.165
Rh: 0.000 0.000 0.337
Rh: 0.500 0.500 0.837

=====

# 12
Density functional theory data (GGA-PBEsol) for an optimized crystal structure of YTlSb2Te.

Calculated values
**E**: -4.38 eV per atom
**Total moment**: 0.001 Bohr magnetons per cell

Cell: 5.729 5.729 5.749 Å, 90.00 90.00 90.00°
Fractional coordinates of all 5 atoms:
Y: 0.000 0.000 0.000
Tl: 0.500 0.500 0.500
Sb: 0.000 0.500 0.000
Sb: 0.500 0.000 0.000
Te: 0.000 0.000 0.500

=====

# 13
Density functional theory data (GGA-PBEsol) for an optimized crystal structure of HRhSN2.

Calculated values
**E**: -5.18 eV per atom
**Total moment**: 0.005 Bohr magnetons per cell

Cell: 3.644 3.644 5.096 Å, 90.00 90.00 90.00°
Fractional coordinates of all 5 atoms:
H: 0.000 0.000 0.000
Rh: 0.500 0.500 0.500
S: 0.500 0.500 0.000
N: 0.000 0.500 0.500
N: 0.500 0.000 0.500

=====

# 14
Density functional theory data (GGA-PBEsol) for an optimized crystal structure of Li3MgPd.

Calculated values
**Formation enthalpy at 0 K**: 0.050 eV/atom
**E**: -2.67 eV per atom
**Total moment**: 0.000 Bohr magnetons per cell

Cell: 4.673 4.673 4.673 Å, 90.00 90.00 90.00°
Fractional coordinates of all 5 atoms:
Li: 0.000 0.000 0.500
Li: 0.000 0.500 0.000
Li: 0.500 0.000 0.000
Mg: 0.500 0.500 0.500
Pd: 0.000 0.000 0.000